Crystalline CsErNb6Br18 at its relaxed geometry, computed with PBE.

Cell: 9.7724 9.7724 18.2702 Å, 90.00 90.00 120.00°
Space group P-31c (No. 163)
Symmetry-distinct sites (fractional):
Cs (0.3333, 0.6667, 0.2500)
Er (0.3333, 0.6667, 0.7500)
Nb (0.0377, 0.1904, 0.9342)
Br (0.0448, 0.2343, 0.1614)
Br (0.0827, 0.4513, 0.8380)
Br (0.1442, 0.4221, 0.4990)

Spin magnetization, μB per formula unit: 0.00
Crystal system: trigonal
E, Ha/atom: -0.177

Crystalline NbGaCuPd at its relaxed geometry, computed with PBE.

Cell: 6.243 6.243 6.243 Å, 90.00 90.00 90.00°
Space group F-43m (No. 216)
Symmetry-distinct sites (fractional):
Nb (0.000, 0.000, 0.000)
Ga (0.000, 0.000, 0.500)
Cu (0.250, 0.250, 0.750)
Pd (0.250, 0.250, 0.250)

Excess energy over the best structure of this formula in the dataset, meV/atom: 0
Spin magnetization, μB per formula unit: 0.00
Crystal system: cubic
E, Ha/atom: -0.209